1.
This record from Alexandria describes crystalline NiAsP at its relaxed geometry. The functional is PBE.

a = 4.036 Å, b = 4.036 Å, c = 4.036 Å
α = 60.00°, β = 60.00°, γ = 60.00°
Fractional coordinates of all 3 atoms:
Ni 0.250 0.250 0.250
As 0.500 0.500 0.500
P 0.000 0.000 0.000

Results
For the calculated formation energy, the calculation gives -0.09 eV/atom. Its total energy is -16.11 eV/cell.

---

2.
This record from Alexandria describes crystalline Ni4As2P at its relaxed geometry. The functional is PBE.

a = 4.188 Å, b = 4.188 Å, c = 6.793 Å
α = 72.05°, β = 72.05°, γ = 90.00°
Fractional coordinates of all 7 atoms:
Ni 0.172 0.172 0.656
Ni 0.828 0.828 0.344
Ni 0.000 0.500 0.000
Ni 0.500 0.000 0.000
As 0.361 0.361 0.278
As 0.639 0.639 0.722
P 0.000 0.000 0.000

Results
For the calculated formation energy, the calculation gives 0.16 eV/atom. Its total energy is -36.75 eV/cell.

---

3.
This record from Alexandria describes crystalline Ni2AsP at its relaxed geometry. The functional is PBE.

a = 4.096 Å, b = 4.096 Å, c = 3.083 Å
α = 90.00°, β = 90.00°, γ = 90.00°
Fractional coordinates of all 4 atoms:
Ni 0.500 0.000 0.000
Ni 0.000 0.500 0.000
As 0.000 0.000 0.500
P 0.500 0.500 0.500

Results
For the calculated formation energy, the calculation gives 0.01 eV/atom. Its total energy is -21.58 eV/cell.

---

4.
This record from Alexandria describes crystalline NiAsP at its relaxed geometry. The functional is PBE.

a = 2.786 Å, b = 3.738 Å, c = 5.256 Å
α = 71.18°, β = 74.79°, γ = 68.10°
Fractional coordinates of all 3 atoms:
Ni 0.736 0.959 0.145
As 0.122 0.476 0.855
P 0.366 0.471 0.372

Results
For the calculated formation energy, the calculation gives -0.13 eV/atom. Its total energy is -16.23 eV/cell.